Entry a
{"formula": "RbSr3Cd", "functional": "PBE", "state": "optimized geometry", "cell": [[6.571, 0.000, 0.000], [0.000, 6.571, 0.000], [0.000, 0.000, 6.571]], "species": ["Sr", "Sr", "Sr", "Rb", "Cd"], "fractional_positions": [[0.000, 0.500, 0.000], [0.000, 0.000, 0.500], [0.500, 0.000, 0.000], [0.500, 0.500, 0.500], [0.000, 0.000, 0.000]]}

Entry b
{"formula": "RbSr3Cd", "functional": "PBE", "state": "optimized geometry", "cell": [[7.529, 0.000, 0.000], [0.000, 7.529, 0.000], [0.000, 0.000, 7.529]], "species": ["Sr", "Sr", "Sr", "Rb", "Cd"], "fractional_positions": [[0.000, 0.500, 0.000], [0.000, 0.000, 0.500], [0.500, 0.000, 0.000], [0.000, 0.000, 0.000], [0.500, 0.500, 0.500]]}

Which of them is the most stable? Correct choice: entry a.

Entry a
{"formula": "RbTaCd2", "functional": "PBE", "state": "optimized geometry", "cell": [[-3.354, 4.499, -1.300], [-1.185, -2.362, -5.118], [-10.031, -3.579, 0.733]], "species": ["Cd", "Cd", "Cd", "Cd", "Rb", "Rb", "Ta", "Ta"], "fractional_positions": [[0.846, 0.125, 0.250], [0.904, 0.625, 0.250], [0.375, 0.154, 0.750], [0.875, 0.096, 0.750], [0.500, 0.500, 0.000], [0.250, 0.750, 0.500], [0.000, 0.000, 0.000], [0.750, 0.250, 0.500]]}

Entry b
{"formula": "RbTaCd2", "functional": "PBE", "state": "optimized geometry", "cell": [[-0.097, -4.630, 2.652], [-2.013, -0.205, 4.937], [-4.646, -2.471, 0.886]], "species": ["Cd", "Cd", "Rb", "Ta"], "fractional_positions": [[0.250, 0.250, 0.250], [0.750, 0.750, 0.750], [0.000, 0.000, 0.000], [0.500, 0.500, 0.500]]}

Which of them is the most stable? Correct choice: entry b.

Entry a
{"formula": "Rb2Cd2Tc", "functional": "PBE", "state": "optimized geometry", "cell": [[7.509, 0.000, 0.000], [0.000, 7.509, 0.000], [0.000, 0.000, 6.140]], "species": ["Tc", "Tc", "Rb", "Rb", "Rb", "Rb", "Cd", "Cd", "Cd", "Cd"], "fractional_positions": [[0.000, 0.000, 0.000], [0.500, 0.500, 0.000], [0.175, 0.675, 0.500], [0.675, 0.825, 0.500], [0.825, 0.325, 0.500], [0.325, 0.175, 0.500], [0.343, 0.843, 0.000], [0.843, 0.657, 0.000], [0.657, 0.157, 0.000], [0.157, 0.343, 0.000]]}

Entry b
{"formula": "Rb2Cd2Tc", "functional": "PBE", "state": "optimized geometry", "cell": [[-2.759, -3.345, 1.974], [3.653, -3.058, -0.075], [2.665, -0.731, 8.236]], "species": ["Tc", "Rb", "Rb", "Cd", "Cd"], "fractional_positions": [[0.000, 0.000, 0.000], [0.750, 0.250, 0.500], [0.250, 0.750, 0.500], [0.416, 0.416, 0.168], [0.584, 0.584, 0.832]]}

Which of them is the most stable? Correct choice: entry a.